Entry 1:
AlCuH28S2ClO22 | meta-GGA SCAN | single point on PBEsol structure

a b c (Å): 6.188 6.211 13.017
angles (deg): 89.38 82.56 84.17
Space group P-1 (No. 2)
Unique sites:
Al 0.000 0.000 0.000
Cu 0.000 0.500 0.500
H 0.014 0.160 0.379
H 0.019 0.915 0.803
H 0.032 0.606 0.285
H 0.144 0.102 0.678
H 0.190 0.676 0.093
H 0.205 0.621 0.969
H 0.213 0.158 0.135
H 0.224 0.430 0.685
H 0.231 0.150 0.445
H 0.280 0.856 0.682
H 0.302 0.222 0.907
H 0.344 0.731 0.479
H 0.382 0.958 0.896
H 0.384 0.523 0.402
S 0.481 0.445 0.195
Cl 0.500 0.000 0.500
O 0.069 0.105 0.125
O 0.104 0.347 0.667
O 0.112 0.245 0.417
O 0.129 0.719 0.027
O 0.134 0.939 0.694
O 0.270 0.072 0.931
O 0.275 0.590 0.201
O 0.292 0.589 0.466
O 0.347 0.468 0.880
O 0.442 0.572 0.701
O 0.445 0.225 0.160

Summary:
* calculated density: 1.92 g/cm3
* VASP energy: -6.4071 eV per atom
* crystal system: triclinic
* total magnetization: 0.018 μB/atom



Entry 2:
AlCl3F | meta-GGA SCAN | single point on PBEsol structure

a b c (Å): 4.597 4.597 4.597
angles (deg): 90.00 90.00 90.00
Space group Pm-3m (No. 221)
Unique sites:
Al 0.000 0.000 0.000
Cl 0.000 0.500 0.500
F 0.500 0.500 0.500

Summary:
* calculated density: 2.60 g/cm3
* VASP energy: -6.8199 eV per atom
* crystal system: cubic
* E_form (uncorrected): 0.225 eV per atom
* total magnetization: 0.000 μB/atom



Entry 3:
AlClF2 | meta-GGA SCAN | single point on PBEsol structure

a b c (Å): 5.725 5.725 5.725
angles (deg): 90.00 90.00 90.00
Space group Fm-3m (No. 225)
Unique sites:
Al 0.000 0.000 0.000
Cl 0.000 0.000 0.500
F 0.250 0.250 0.250

Summary:
* calculated density: 3.56 g/cm3
* VASP energy: -6.7871 eV per atom
* crystal system: cubic
* E_form (uncorrected): -1.085 eV per atom
* total magnetization: 0.000 μB/atom



Entry 4:
Al2PdClF | meta-GGA SCAN | single point on PBEsol structure

a b c (Å): 5.371 5.371 4.405
angles (deg): 90.00 90.00 90.00
Space group P4/mmm (No. 123)
Unique sites:
Al 0.000 0.500 0.000
Pd 0.000 0.000 0.500
Cl 0.000 0.000 0.000
F 0.500 0.500 0.500

Summary:
* calculated density: 2.81 g/cm3
* VASP energy: -11.7193 eV per atom
* crystal system: tetragonal
* E_form (uncorrected): 0.240 eV per atom
* total magnetization: 0.000 μB/atom



Entry 5:
AlSCl2F | meta-GGA SCAN | single point on PBEsol structure

a b c (Å): 5.302 5.302 3.586
angles (deg): 90.00 90.00 90.00
Space group P4/mmm (No. 123)
Unique sites:
Al 0.000 0.000 0.000
S 0.500 0.500 0.000
Cl 0.000 0.500 0.500
F 0.500 0.500 0.500

Summary:
* calculated density: 2.45 g/cm3
* VASP energy: -7.2635 eV per atom
* crystal system: tetragonal
* E_form (uncorrected): 0.112 eV per atom
* total magnetization: 0.366 μB/atom



Entry 6:
AlTcClF2 | meta-GGA SCAN | single point on PBEsol structure

a b c (Å): 3.531 3.531 5.817
angles (deg): 90.00 90.00 90.00
Space group P4/mmm (No. 123)
Unique sites:
Al 0.000 0.000 0.000
Tc 0.500 0.500 0.500
Cl 0.000 0.000 0.500
F 0.000 0.500 0.000

Summary:
* calculated density: 4.54 g/cm3
* VASP energy: -12.6304 eV per atom
* crystal system: tetragonal
* E_form (uncorrected): -1.056 eV per atom
* total magnetization: 0.503 μB/atom



Entry 7:
Al2FeCl | meta-GGA SCAN | single point on PBEsol structure

a b c (Å): 3.598 3.598 10.483
angles (deg): 90.00 90.00 90.00
Space group I-4m2 (No. 119)
Unique sites:
Al 0.000 0.000 0.000
Al 0.000 0.500 0.250
Fe 0.000 0.500 0.750
Cl 0.000 0.000 0.500

Summary:
* excess energy over the best structure of this formula in the dataset: 53.8 kJ/mol of atoms
* calculated density: 3.56 g/cm3
* VASP energy: -9.9722 eV per atom
* crystal system: tetragonal
* E_form (uncorrected): 0.431 eV per atom
* total magnetization: 0.716 μB/atom



Entry 8:
AlFe2Cl | meta-GGA SCAN | single point on PBEsol structure

a b c (Å): 5.182 8.079 2.785
angles (deg): 90.00 110.67 90.00
Space group C2/m (No. 12)
Unique sites:
Al 0.000 0.000 0.000
Fe 0.250 0.250 0.500
Cl 0.000 0.500 0.000

Summary:
* excess energy over the best structure of this formula in the dataset: 25.6 kJ/mol of atoms
* calculated density: 5.30 g/cm3
* VASP energy: -12.7481 eV per atom
* crystal system: monoclinic
* E_form (uncorrected): 0.249 eV per atom
* total magnetization: 1.411 μB/atom



Among the records above, which one has the highest calculated density?
AlFe2Cl